(1)
# TlIn3Sn3 (PBE, optimized geometry)
data_TlIn3Sn3
_chemical_formula_sum 'Tl2 In6 Sn6'
_cell_length_a 8.135
_cell_length_b 8.135
_cell_length_c 8.135
_cell_angle_alpha 90.00
_cell_angle_beta 90.00
_cell_angle_gamma 90.00
_space_group_name_H-M_alt 'P m -3 n'
_space_group_IT_number 223
_space_group_name_Hall '-P 4n 2 3'
loop_
_atom_site_label
_atom_site_type_symbol
_atom_site_fract_x
_atom_site_fract_y
_atom_site_fract_z
Tl1 Tl 0.000 0.000 0.000
In1 In 0.000 0.250 0.500
Sn1 Sn 0.000 0.500 0.250
# D(E_F): 11.1 states/eV per cell
# formation energy: 234 meV/atom



(2)
# TlIn12Sn6 (PBE, optimized geometry)
data_TlIn12Sn6
_chemical_formula_sum 'Tl2 In24 Sn12'
_cell_length_a 10.306
_cell_length_b 10.306
_cell_length_c 10.306
_cell_angle_alpha 90.00
_cell_angle_beta 90.00
_cell_angle_gamma 90.00
_space_group_name_H-M_alt 'I m -3'
_space_group_IT_number 204
_space_group_name_Hall '-I 2 2 3'
loop_
_atom_site_label
_atom_site_type_symbol
_atom_site_fract_x
_atom_site_fract_y
_atom_site_fract_z
Tl1 Tl 0.000 0.000 0.000
In1 In 0.000 0.253 0.198
Sn1 Sn 0.000 0.146 0.500
# D(E_F): 24.5 states/eV per cell
# formation energy: 84 meV/atom



(3)
# TlIn2Sn6 (PBE, optimized geometry)
data_TlIn2Sn6
_chemical_formula_sum 'Tl3 In6 Sn18'
_cell_length_a 9.4859
_cell_length_b 9.4859
_cell_length_c 9.6705
_cell_angle_alpha 90.00
_cell_angle_beta 90.00
_cell_angle_gamma 120.00
_space_group_name_H-M_alt 'R -3 m'
_space_group_IT_number 166
_space_group_name_Hall '-R 3 2"'
loop_
_atom_site_label
_atom_site_type_symbol
_atom_site_fract_x
_atom_site_fract_y
_atom_site_fract_z
Tl1 Tl 0.0000 0.0000 0.0000
In1 In 0.0000 0.0000 0.3354
Sn1 Sn 0.0000 0.3314 0.5000
# D(E_F): 8.9 states/eV per cell
# formation energy: 26 meV/atom



(4)
# Tl3In5Sn12 (PBE, optimized geometry)
data_Tl3In5Sn12
_chemical_formula_sum 'Tl24 In40 Sn96'
_cell_length_a 17.703
_cell_length_b 17.703
_cell_length_c 17.703
_cell_angle_alpha 90.00
_cell_angle_beta 90.00
_cell_angle_gamma 90.00
_space_group_name_H-M_alt 'I a -3 d'
_space_group_IT_number 230
_space_group_name_Hall '-I 4bd 2c 3'
loop_
_atom_site_label
_atom_site_type_symbol
_atom_site_fract_x
_atom_site_fract_y
_atom_site_fract_z
Tl1 Tl 0.000 0.250 0.125
In1 In 0.000 0.000 0.000
In2 In 0.000 0.250 0.375
Sn1 Sn 0.009 0.076 0.653
# D(E_F): 123.1 states/eV per cell
# formation energy: 238 meV/atom



(5)
# Tl3In2Sn7 (PBE, optimized geometry)
data_Tl3In2Sn7
_chemical_formula_sum 'Tl3 In2 Sn7'
_cell_length_a 5.960
_cell_length_b 3.353
_cell_length_c 17.392
_cell_angle_alpha 90.00
_cell_angle_beta 91.35
_cell_angle_gamma 90.00
_space_group_name_H-M_alt 'P 1 2/m 1'
_space_group_IT_number 10
loop_
_space_group_symop_operation_xyz
'x,y,z'
'-x,-y,-z'
'-x,y,-z'
'x,-y,z'
loop_
_atom_site_label
_atom_site_type_symbol
_atom_site_fract_x
_atom_site_fract_y
_atom_site_fract_z
Tl1 Tl 0.000 0.000 0.000
Tl2 Tl 0.166 0.500 0.343
In1 In 0.343 0.000 0.694
Sn1 Sn 0.155 0.500 0.836
Sn2 Sn 0.254 0.000 0.524
Sn3 Sn 0.337 0.000 0.160
Sn4 Sn 0.500 0.500 0.000
# D(E_F): 5.0 states/eV per cell
# formation energy: 53 meV/atom



(6)
# Tl2In3Sn2 (PBE, optimized geometry)
data_Tl2In3Sn2
_chemical_formula_sum 'Tl4 In6 Sn4'
_cell_length_a 10.869
_cell_length_b 5.038
_cell_length_c 7.297
_cell_angle_alpha 90.00
_cell_angle_beta 95.45
_cell_angle_gamma 90.00
_space_group_name_H-M_alt 'C 1 2/m 1'
_space_group_IT_number 12
loop_
_space_group_symop_operation_xyz
'x,y,z'
'-x,-y,-z'
'-x,y,-z'
'x,-y,z'
'x+1/2,y+1/2,z'
'-x+1/2,-y+1/2,-z'
'-x+1/2,y+1/2,-z'
'x+1/2,-y+1/2,z'
loop_
_atom_site_label
_atom_site_type_symbol
_atom_site_fract_x
_atom_site_fract_y
_atom_site_fract_z
Tl1 Tl 0.069 0.000 0.221
In1 In 0.000 0.500 0.500
In2 In 0.219 0.000 0.648
Sn1 Sn 0.146 0.500 0.929
# D(E_F): 5.7 states/eV per cell
# formation energy: 32 meV/atom



(7)
# TlIn6Sn (PBE, optimized geometry)
data_TlIn6Sn
_chemical_formula_sum 'Tl2 In12 Sn2'
_cell_length_a 5.561
_cell_length_b 7.296
_cell_length_c 10.943
_cell_angle_alpha 90.00
_cell_angle_beta 90.00
_cell_angle_gamma 90.00
_space_group_name_H-M_alt 'A m m 2'
_space_group_IT_number 38
loop_
_space_group_symop_operation_xyz
'x,y,z'
'-x,-y,z'
'-x,y,z'
'x,-y,z'
'x,y+1/2,z+1/2'
'-x,-y+1/2,z+1/2'
'-x,y+1/2,z+1/2'
'x,-y+1/2,z+1/2'
loop_
_atom_site_label
_atom_site_type_symbol
_atom_site_fract_x
_atom_site_fract_y
_atom_site_fract_z
Tl1 Tl 0.000 0.000 0.000
In1 In 0.000 0.000 0.471
In2 In 0.000 0.228 0.736
In3 In 0.500 0.000 0.249
In4 In 0.500 0.230 0.512
Sn1 Sn 0.500 0.000 0.776
# D(E_F): 4.5 states/eV per cell
# formation energy: 19 meV/atom



(8)
# Tl2In5Sn2 (PBE, optimized geometry)
data_Tl2In5Sn2
_chemical_formula_sum 'Tl2 In5 Sn2'
_cell_length_a 3.443
_cell_length_b 8.942
_cell_length_c 9.009
_cell_angle_alpha 68.55
_cell_angle_beta 81.10
_cell_angle_gamma 80.93
_space_group_name_H-M_alt 'P -1'
_space_group_IT_number 2
loop_
_space_group_symop_operation_xyz
'x,y,z'
'-x,-y,-z'
loop_
_atom_site_label
_atom_site_type_symbol
_atom_site_fract_x
_atom_site_fract_y
_atom_site_fract_z
Tl1 Tl 0.214 0.389 0.172
In1 In 0.000 0.500 0.500
In2 In 0.107 0.945 0.839
In3 In 0.332 0.841 0.492
Sn1 Sn 0.453 0.270 0.828
# D(E_F): 3.8 states/eV per cell
# formation energy: 24 meV/atom



(9)
# Tl3In5Sn3 (PBE, optimized geometry)
data_Tl3In5Sn3
_chemical_formula_sum 'Tl3 In5 Sn3'
_cell_length_a 11.1168
_cell_length_b 11.1168
_cell_length_c 3.2105
_cell_angle_alpha 90.00
_cell_angle_beta 90.00
_cell_angle_gamma 120.00
_space_group_name_H-M_alt 'P -6 2 m'
_space_group_IT_number 189
_space_group_name_Hall 'P -6 -2'
loop_
_atom_site_label
_atom_site_type_symbol
_atom_site_fract_x
_atom_site_fract_y
_atom_site_fract_z
Tl1 Tl 0.0000 0.5802 0.0000
In1 In 0.0000 0.3223 0.5000
In2 In 0.3333 0.6667 0.5000
Sn1 Sn 0.0000 0.8375 0.5000
# D(E_F): 4.3 states/eV per cell
# formation energy: 124 meV/atom



(10)
# TlIn10Sn2 (PBE, optimized geometry)
data_TlIn10Sn2
_chemical_formula_sum 'Tl1 In10 Sn2'
_cell_length_a 6.384
_cell_length_b 8.269
_cell_length_c 8.295
_cell_angle_alpha 81.35
_cell_angle_beta 68.15
_cell_angle_gamma 68.41
_space_group_name_H-M_alt 'P -1'
_space_group_IT_number 2
loop_
_space_group_symop_operation_xyz
'x,y,z'
'-x,-y,-z'
loop_
_atom_site_label
_atom_site_type_symbol
_atom_site_fract_x
_atom_site_fract_y
_atom_site_fract_z
Tl1 Tl 0.000 0.000 0.000
In1 In 0.000 0.500 0.000
In2 In 0.004 0.351 0.648
In3 In 0.285 0.216 0.214
In4 In 0.354 0.644 0.644
In5 In 0.499 0.799 0.202
In6 In 0.500 0.500 0.000
Sn1 Sn 0.000 0.000 0.500
Sn2 Sn 0.500 0.000 0.500
# D(E_F): 5.9 states/eV per cell
# formation energy: 62 meV/atom



(11)
# Tl5In2Sn (PBE, optimized geometry)
data_Tl5In2Sn
_chemical_formula_sum 'Tl10 In4 Sn2'
_cell_length_a 7.793
_cell_length_b 10.998
_cell_length_c 6.740
_cell_angle_alpha 90.00
_cell_angle_beta 125.32
_cell_angle_gamma 90.00
_space_group_name_H-M_alt 'C 1 m 1'
_space_group_IT_number 8
loop_
_space_group_symop_operation_xyz
'x,y,z'
'x,-y,z'
'x+1/2,y+1/2,z'
'x+1/2,-y+1/2,z'
loop_
_atom_site_label
_atom_site_type_symbol
_atom_site_fract_x
_atom_site_fract_y
_atom_site_fract_z
Tl1 Tl 0.000 0.000 0.000
Tl2 Tl 0.000 0.000 0.500
Tl3 Tl 0.248 0.250 0.498
Tl4 Tl 0.499 0.000 0.001
In1 In 0.248 0.250 0.998
Sn1 Sn 0.000 0.500 0.502
# D(E_F): 7.7 states/eV per cell
# formation energy: 36 meV/atom



(12)
# Tl7In4Sn (PBE, optimized geometry)
data_Tl7In4Sn
_chemical_formula_sum 'Tl14 In8 Sn2'
_cell_length_a 13.641
_cell_length_b 5.868
_cell_length_c 11.066
_cell_angle_alpha 90.00
_cell_angle_beta 121.08
_cell_angle_gamma 90.00
_space_group_name_H-M_alt 'C 1 2/m 1'
_space_group_IT_number 12
loop_
_space_group_symop_operation_xyz
'x,y,z'
'-x,-y,-z'
'-x,y,-z'
'x,-y,z'
'x+1/2,y+1/2,z'
'-x+1/2,-y+1/2,-z'
'-x+1/2,y+1/2,-z'
'x+1/2,-y+1/2,z'
loop_
_atom_site_label
_atom_site_type_symbol
_atom_site_fract_x
_atom_site_fract_y
_atom_site_fract_z
Tl1 Tl 0.000 0.000 0.000
Tl2 Tl 0.075 0.500 0.340
Tl3 Tl 0.150 0.000 0.553
Tl4 Tl 0.199 0.500 0.918
In1 In 0.069 0.000 0.766
In2 In 0.228 0.000 0.313
Sn1 Sn 0.000 0.500 0.000
# D(E_F): 13.3 states/eV per cell
# formation energy: 127 meV/atom



(13)
# Tl7In2Sn (PBE, optimized geometry)
data_Tl7In2Sn
_chemical_formula_sum 'Tl14 In4 Sn2'
_cell_length_a 6.591
_cell_length_b 28.289
_cell_length_c 3.284
_cell_angle_alpha 90.00
_cell_angle_beta 90.00
_cell_angle_gamma 90.00
_space_group_name_H-M_alt 'C m m m'
_space_group_IT_number 65
_space_group_name_Hall '-C 2 2'
loop_
_atom_site_label
_atom_site_type_symbol
_atom_site_fract_x
_atom_site_fract_y
_atom_site_fract_z
Tl1 Tl 0.000 0.000 0.000
Tl2 Tl 0.000 0.303 0.500
Tl3 Tl 0.244 0.401 0.000
In1 In 0.000 0.200 0.000
Sn1 Sn 0.000 0.500 0.500
# D(E_F): 7.2 states/eV per cell
# formation energy: 60 meV/atom



(14)
# TlIn2Sn2 (PBE, optimized geometry)
data_TlIn2Sn2
_chemical_formula_sum 'Tl2 In4 Sn4'
_cell_length_a 4.490
_cell_length_b 4.743
_cell_length_c 17.126
_cell_angle_alpha 90.00
_cell_angle_beta 90.00
_cell_angle_gamma 90.00
_space_group_name_H-M_alt 'I m m m'
_space_group_IT_number 71
_space_group_name_Hall '-I 2 2'
loop_
_atom_site_label
_atom_site_type_symbol
_atom_site_fract_x
_atom_site_fract_y
_atom_site_fract_z
Tl1 Tl 0.000 0.000 0.000
In1 In 0.000 0.000 0.258
Sn1 Sn 0.000 0.500 0.366
# D(E_F): 3.0 states/eV per cell
# formation energy: 158 meV/atom



(15)
# Tl7In3Sn (PBE, optimized geometry)
data_Tl7In3Sn
_chemical_formula_sum 'Tl7 In3 Sn1'
_cell_length_a 6.9038
_cell_length_b 6.9038
_cell_length_c 8.2188
_cell_angle_alpha 90.00
_cell_angle_beta 90.00
_cell_angle_gamma 120.00
_space_group_name_H-M_alt 'P 3 m 1'
_space_group_IT_number 156
loop_
_space_group_symop_operation_xyz
'x,y,z'
'-y,x-y,z'
'-x+y,-x,z'
'-y,-x,z'
'-x+y,y,z'
'x,x-y,z'
loop_
_atom_site_label
_atom_site_type_symbol
_atom_site_fract_x
_atom_site_fract_y
_atom_site_fract_z
Tl1 Tl 0.0000 0.0000 0.0000
Tl2 Tl 0.0042 0.5021 0.9758
Tl3 Tl 0.1706 0.3412 0.3399
In1 In 0.3372 0.1686 0.6552
Sn1 Sn 0.6667 0.3333 0.3215
# D(E_F): 6.2 states/eV per cell
# formation energy: 62 meV/atom



(16)
# Tl12In3Sn (PBE, optimized geometry)
data_Tl12In3Sn
_chemical_formula_sum 'Tl12 In3 Sn1'
_cell_length_a 5.379
_cell_length_b 5.379
_cell_length_c 16.577
_cell_angle_alpha 90.00
_cell_angle_beta 90.00
_cell_angle_gamma 90.00
_space_group_name_H-M_alt 'P 4/m m m'
_space_group_IT_number 123
_space_group_name_Hall '-P 4 2'
loop_
_atom_site_label
_atom_site_type_symbol
_atom_site_fract_x
_atom_site_fract_y
_atom_site_fract_z
Tl1 Tl 0.000 0.000 0.000
Tl2 Tl 0.000 0.000 0.249
Tl3 Tl 0.000 0.000 0.500
Tl4 Tl 0.000 0.500 0.124
Tl5 Tl 0.000 0.500 0.376
In1 In 0.500 0.500 0.000
In2 In 0.500 0.500 0.248
Sn1 Sn 0.500 0.500 0.500
# D(E_F): 7.6 states/eV per cell
# formation energy: 25 meV/atom



(17)
# Tl3InSn (PBE, optimized geometry)
data_Tl3InSn
_chemical_formula_sum 'Tl12 In4 Sn4'
_cell_length_a 10.058
_cell_length_b 9.701
_cell_length_c 6.876
_cell_angle_alpha 90.00
_cell_angle_beta 109.94
_cell_angle_gamma 90.00
_space_group_name_H-M_alt 'C 1 2/m 1'
_space_group_IT_number 12
loop_
_space_group_symop_operation_xyz
'x,y,z'
'-x,-y,-z'
'-x,y,-z'
'x,-y,z'
'x+1/2,y+1/2,z'
'-x+1/2,-y+1/2,-z'
'-x+1/2,y+1/2,-z'
'x+1/2,-y+1/2,z'
loop_
_atom_site_label
_atom_site_type_symbol
_atom_site_fract_x
_atom_site_fract_y
_atom_site_fract_z
Tl1 Tl 0.155 0.191 0.182
Tl2 Tl 0.187 0.000 0.636
In1 In 0.000 0.309 0.500
Sn1 Sn 0.099 0.500 0.882
# D(E_F): 7.8 states/eV per cell
# formation energy: 48 meV/atom



(18)
# TlInSn (PBE, optimized geometry)
data_TlInSn
_chemical_formula_sum 'Tl2 In2 Sn2'
_cell_length_a 3.181
_cell_length_b 5.641
_cell_length_c 9.845
_cell_angle_alpha 90.71
_cell_angle_beta 98.56
_cell_angle_gamma 90.19
_space_group_name_H-M_alt 'P -1'
_space_group_IT_number 2
loop_
_space_group_symop_operation_xyz
'x,y,z'
'-x,-y,-z'
loop_
_atom_site_label
_atom_site_type_symbol
_atom_site_fract_x
_atom_site_fract_y
_atom_site_fract_z
Tl1 Tl 0.176 0.251 0.397
In1 In 0.402 0.250 0.750
Sn1 Sn 0.463 0.750 0.919
# D(E_F): 1.8 states/eV per cell
# formation energy: 21 meV/atom



(19)
# TlIn6Sn2 (PBE, optimized geometry)
data_TlIn6Sn2
_chemical_formula_sum 'Tl1 In6 Sn2'
_cell_length_a 5.002
_cell_length_b 5.002
_cell_length_c 10.790
_cell_angle_alpha 90.00
_cell_angle_beta 90.00
_cell_angle_gamma 90.00
_space_group_name_H-M_alt 'P 4/m m m'
_space_group_IT_number 123
_space_group_name_Hall '-P 4 2'
loop_
_atom_site_label
_atom_site_type_symbol
_atom_site_fract_x
_atom_site_fract_y
_atom_site_fract_z
Tl1 Tl 0.000 0.000 0.000
In1 In 0.000 0.000 0.500
In2 In 0.000 0.500 0.300
In3 In 0.500 0.500 0.500
Sn1 Sn 0.500 0.500 0.134
# D(E_F): 3.4 states/eV per cell
# formation energy: 64 meV/atom